ZrSc2Al3Cu3 (GGA-PBE, relaxed); total moment = 0.011 μB/f.u.; raw total energy = -5.292 eV/atom; density = 5.02 Mg/m³
1.0
3.798 0.000 0.000
0.000 5.869 3.358
0.000 -5.869 3.358
Zr Sc Al Cu
1 2 3 3
direct
0.000 0.000 0.000 Zr
0.000 0.414 0.827 Sc
0.000 0.827 0.414 Sc
0.500 0.168 0.412 Al
0.500 0.412 0.168 Al
0.500 0.663 0.663 Al
0.000 0.417 0.417 Cu
0.500 0.082 0.746 Cu
0.500 0.746 0.082 Cu